(1)
The following is a DFT calculation (PBE) of CrB2AsSe after structural relaxation.

```
CrB2AsSe
1.0
-0.463 -3.252 2.326
-2.103 -2.357 -3.714
3.602 -1.356 -1.178
Cr As B Se
1 1 2 1
Direct
0.000 0.500 0.000
0.000 0.000 0.000
0.000 0.000 0.500
0.500 0.000 0.000
0.500 0.500 0.500
```

Calculated values
E_tot = -4.6285 eV/atom
ΔE_f (raw) = 1.59 eV per atom
total magnetic moment = 0.05 μB/cell

=====

(2)
The following is a DFT calculation (PBE) of CrBAs2Se after structural relaxation.

```
CrBAs2Se
1.0
4.620 0.000 0.000
0.000 4.620 0.000
0.000 0.000 4.807
Cr As B Se
1 2 1 1
Direct
0.000 0.000 0.000
0.000 0.500 0.000
0.500 0.000 0.000
0.500 0.500 0.500
0.000 0.000 0.500
```

Calculated values
E above lowest polymorph = 47 meV/atom
E_tot = -4.6590 eV/atom
ΔE_f (raw) = 1.16 eV per atom
total magnetic moment = 1.27 μB/cell

=====

(3)
The following is a DFT calculation (PBE) of CrBAs2Se after structural relaxation.

```
CrBAs2Se
1.0
-0.368 3.556 2.398
-2.553 -2.116 2.746
3.536 -1.219 2.349
Cr As B Se
1 2 1 1
Direct
0.500 0.500 0.500
0.000 0.500 0.000
0.500 0.000 0.000
0.000 0.000 0.000
0.000 0.000 0.500
```

Calculated values
E above lowest polymorph = 0 meV/atom
E_tot = -4.7057 eV/atom
ΔE_f (raw) = 1.11 eV per atom
total magnetic moment = 0.01 μB/cell

=====

(4)
The following is a DFT calculation (PBE) of TaCrB2As after structural relaxation.

```
TaCrB2As
1.0
-1.857 -3.232 -0.818
4.036 -2.082 -0.935
0.284 -1.086 3.647
Cr As B Ta
1 1 2 1
Direct
0.000 0.000 0.000
0.000 0.500 0.000
0.000 0.000 0.500
0.500 0.000 0.000
0.500 0.500 0.500
```

Calculated values
E_tot = -6.9152 eV/atom
ΔE_f = 0.98 eV per atom
total magnetic moment = 0.00 μB/cell

=====

(5)
The following is a DFT calculation (PBE) of CrTcBAs2 after structural relaxation.

```
CrTcBAs2
1.0
-4.221 0.433 1.873
-1.602 -0.989 -3.381
0.100 -4.464 1.258
Cr As B Tc
1 2 1 1
Direct
0.000 0.000 0.000
0.000 0.000 0.500
0.500 0.000 0.000
0.000 0.500 0.000
0.500 0.500 0.500
```

Calculated values
E_tot = -6.1584 eV/atom
ΔE_f = 1.03 eV per atom
total magnetic moment = 3.91 μB/cell

=====

(6)
The following is a DFT calculation (PBE) of TlCr2BAs after structural relaxation.

```
TlCr2BAs
1.0
-4.476 1.201 1.465
-1.561 -1.863 -3.244
-0.288 -4.146 2.520
Cr Tl B As
2 1 1 1
Direct
0.000 0.000 0.500
0.500 0.000 0.000
0.500 0.500 0.500
0.000 0.500 0.000
0.000 0.000 0.000
```

Calculated values
E_tot = -5.5479 eV/atom
ΔE_f = 1.04 eV per atom
total magnetic moment = 7.24 μB/cell

=====

(7)
The following is a DFT calculation (PBE) of Cs3B2As4 after structural relaxation.

```
Cs3B2As4
1.0
-1.642 -5.447 3.679
8.405 -3.827 0.956
4.350 2.104 7.928
Cs B As
6 4 8
Direct
0.946 0.994 0.233
0.554 0.767 0.006
0.054 0.006 0.767
0.446 0.233 0.994
0.250 0.573 0.427
0.750 0.427 0.573
0.521 0.171 0.371
0.979 0.629 0.829
0.479 0.829 0.629
0.021 0.371 0.171
0.428 0.945 0.385
0.072 0.615 0.055
0.572 0.055 0.615
0.928 0.385 0.945
0.193 0.226 0.368
0.307 0.632 0.774
0.807 0.774 0.632
0.693 0.368 0.226
```

Calculated values
E_tot = -3.8478 eV/atom
ΔE_f = -0.01 eV per atom
total magnetic moment = 0.00 μB/cell

=====

(8)
The following is a DFT calculation (PBE) of CsB3As after structural relaxation.

```
CsB3As
1.0
4.910 0.000 0.000
0.000 4.910 0.000
0.000 0.000 4.910
Cs As B
1 1 3
Direct
0.000 0.000 0.000
0.500 0.500 0.500
0.000 0.500 0.000
0.000 0.000 0.500
0.500 0.000 0.000
```

Calculated values
E above lowest polymorph = 1405 meV/atom
E_tot = -1.7331 eV/atom
ΔE_f = 3.37 eV per atom
total magnetic moment = 0.00 μB/cell